The following is a GGA+U calculation of a relaxed structure of FeGeBi2O6, from Alexandria via LeMat-Bulk.

symmetry: P2_1/c
VASP energy: -6.1541 eV/atom

Unit cell a=5.435 b=5.904 c=7.753 alpha=90.00 beta=89.02 gamma=90.00
Each line ends with the local moment (μB).
Fractional positions:
1 O 0.301 0.673 0.033  0.03
2 O 0.179 0.227 0.055  0.03
3 Fe 0.500 0.000 0.000  3.77
4 O 0.801 0.827 0.533  0.03
5 Bi 0.513 0.560 0.760  0.00
6 Bi 0.987 0.060 0.740  0.00
7 Fe 0.000 0.500 0.500  3.77
8 O 0.321 0.727 0.445  0.03
9 O 0.597 0.039 0.258  0.03
10 Ge 0.500 0.000 0.500  0.02
11 O 0.679 0.273 0.555  0.03
12 O 0.903 0.539 0.242  0.03
13 Ge 0.000 0.500 0.000  0.02
14 Bi 0.487 0.440 0.240  0.00
15 O 0.403 0.961 0.742  0.03
16 Bi 0.013 0.940 0.260  0.00
17 O 0.097 0.461 0.758  0.03
18 O 0.821 0.773 0.945  0.03
19 O 0.199 0.173 0.467  0.03
20 O 0.699 0.327 0.967  0.03